ZrAg2Br: optimized geometry, GGA-PBE.

a = 3.4182 Å, b = 3.4182 Å, c = 26.4002 Å
α = 90.00°, β = 90.00°, γ = 120.00°
Positions (direct):
Zr 0.0000 0.0000 0.0000
Zr 0.3333 0.6667 0.6667
Zr 0.6667 0.3333 0.3333
Ag 0.0000 0.0000 0.2489
Ag 0.0000 0.0000 0.7511
Ag 0.3333 0.6667 0.4177
Ag 0.3333 0.6667 0.9156
Ag 0.6667 0.3333 0.0844
Ag 0.6667 0.3333 0.5823
Br 0.0000 0.0000 0.5000
Br 0.3333 0.6667 0.1667
Br 0.6667 0.3333 0.8333

Computed properties:
ρ   7.2 g/cm3
Electronic total energy   -3.9250 eV/atom
M_tot   2.37 μB per cell
DOS at the Fermi energy   1.777 states/eV/f.u.

***

ZrAgBr2: optimized geometry, GGA-PBE.

a = 3.8209 Å, b = 3.6005 Å, c = 8.4993 Å
α = 90.00°, β = 102.53°, γ = 90.00°
Positions (direct):
Zr 0.0000 0.0000 0.0000
Ag 0.4194 0.5000 0.8331
Br 0.1183 0.5000 0.2444
Br 0.8403 0.0000 0.6689

Computed properties:
ρ   5.2 g/cm3
Electronic total energy   -4.2869 eV/atom
M_tot   0.68 μB per cell
DOS at the Fermi energy   1.962 states/eV/f.u.

***

ZrAgBr2: optimized geometry, GGA-PBE.

a = 9.6957 Å, b = 9.6957 Å, c = 5.6965 Å
α = 90.00°, β = 90.00°, γ = 90.00°
Positions (direct):
Zr 0.0000 0.0000 0.0000
Zr 0.0000 0.5000 0.2500
Zr 0.5000 0.0000 0.7500
Zr 0.5000 0.5000 0.5000
Ag 0.0000 0.0000 0.5000
Ag 0.0000 0.5000 0.7500
Ag 0.5000 0.0000 0.2500
Ag 0.5000 0.5000 0.0000
Br 0.0969 0.2500 0.1250
Br 0.2500 0.5969 0.3750
Br 0.2500 0.9031 0.8750
Br 0.4031 0.2500 0.6250
Br 0.5969 0.7500 0.6250
Br 0.7500 0.0969 0.8750
Br 0.7500 0.4031 0.3750
Br 0.9031 0.7500 0.1250

Computed properties:
ρ   4.5 g/cm3
Electronic total energy   -3.9694 eV/atom
M_tot   3.76 μB per cell
DOS at the Fermi energy   3.250 states/eV/f.u.